# NaBTeN2 (GGA-PBE, relaxed)
# Formation energy without anion corrections (eV/atom): 2.630
# Crystal system: tetragonal
# Calculated density (Mg/m³): 2.72
# DFT total energy (eV/atom): -2.93
# Polymorph energy (0 for the lowest one) (meV per atom): 1074.3
# Fermi-level density of states (states/eV per cell): 3.81
data_NaBTeN2
_cell_length_a 4.2595
_cell_length_b 4.2595
_cell_length_c 6.3718
_cell_angle_alpha 90.00
_cell_angle_beta 90.00
_cell_angle_gamma 90.00
_symmetry_space_group_name_H-M 'P 4/m m m'
_symmetry_Int_Tables_number 123
_symmetry_space_group_name_Hall '-P 4 2'
loop_
_atom_site_label
_atom_site_type_symbol
_atom_site_fract_x
_atom_site_fract_y
_atom_site_fract_z
_atom_site_occupancy
Na1 Na 0.0000 0.0000 0.0000 1
B1 B 0.5000 0.5000 0.5000 1
Te1 Te 0.0000 0.0000 0.5000 1
N1 N 0.0000 0.5000 0.0000 1